[1]
## CaSnP2S8 (GGA-PBE)

Data for a relaxed CaSnP2S8 crystal.

Summary:
DFT total energy: -4.609 eV per atom
crystal system: trigonal

The structure in extended XYZ format:
```
12
Lattice="-4.5116 2.2357 -3.2150 -0.9448 -4.6276 3.6582 -1.9100 5.5715 6.5546" Properties=species:S:1:pos:R:3 pbc="T T T"
S -3.3552 0.0428 -0.8123
S -6.1492 4.5927 2.5433
S -2.3710 0.9120 2.1419
S -2.8083 4.6075 3.5042
S -4.5580 -1.4279 3.4936
S -4.0112 3.1368 7.8101
S -1.2172 -1.4131 4.4545
S -4.9953 2.2676 4.8558
P -3.7876 1.3043 0.6717
P -3.5787 1.8753 6.3260
Sn -0.9550 2.7857 3.2773
Ca 0.0000 0.0000 0.0000
```

[2]
## CaSnPS2 (GGA-PBE)

Data for a relaxed CaSnPS2 crystal.

Summary:
DFT total energy: -4.156 eV per atom
crystal system: tetragonal
DOS(E_F): 0.9655 states/eV per atom

The structure in extended XYZ format:
```
5
Lattice="5.0694 0.0000 0.0000 0.0000 5.0694 0.0000 0.0000 0.0000 4.9663" Properties=species:S:1:pos:R:3 pbc="T T T"
P 0.0000 0.0000 2.4832
S 0.0000 2.5347 0.0000
S 2.5347 0.0000 0.0000
Ca 2.5347 2.5347 2.4832
Sn 0.0000 0.0000 0.0000
```

[3]
## CaSnPS2 (GGA-PBE)

Data for a relaxed CaSnPS2 crystal.

Summary:
DFT total energy: -3.669 eV per atom
crystal system: tetragonal
DOS(E_F): 1.1886 states/eV per atom

The structure in extended XYZ format:
```
5
Lattice="-3.7346 -3.2576 -1.4795 0.7808 -2.8292 4.2585 -3.5111 2.8675 2.5489" Properties=species:S:1:pos:R:3 pbc="T T T"
Sn -3.2325 -1.6097 2.6639
S 0.3904 -1.4146 2.1292
S -1.8673 -1.6288 -0.7398
P -1.7555 1.4338 1.2744
Ca 0.0000 0.0000 0.0000
```

[4]
## SrCaPS2 (GGA-PBE)

Data for a relaxed SrCaPS2 crystal.

Summary:
DFT total energy: -3.657 eV per atom
crystal system: tetragonal
DOS(E_F): 1.3404 states/eV per atom

The structure in extended XYZ format:
```
5
Lattice="5.4296 0.0000 0.0000 0.0000 5.4296 0.0000 0.0000 0.0000 5.3358" Properties=species:S:1:pos:R:3 pbc="T T T"
S 2.7148 0.0000 0.0000
S 0.0000 2.7148 0.0000
P 0.0000 0.0000 2.6679
Sr 0.0000 0.0000 0.0000
Ca 2.7148 2.7148 2.6679
```

[5]
## SrCaPS2 (GGA-PBE)

Data for a relaxed SrCaPS2 crystal.

Summary:
DFT total energy: -4.044 eV per atom
crystal system: tetragonal
DOS(E_F): 1.1350 states/eV per atom

The structure in extended XYZ format:
```
5
Lattice="5.2283 0.0000 0.0000 0.0000 5.2283 0.0000 0.0000 0.0000 5.1540" Properties=species:S:1:pos:R:3 pbc="T T T"
S 0.0000 2.6141 0.0000
S 2.6141 0.0000 0.0000
P 0.0000 0.0000 2.5770
Sr 2.6141 2.6141 2.5770
Ca 0.0000 0.0000 0.0000
```

[6]
## CaTaPS2 (GGA-PBE)

Data for a relaxed CaTaPS2 crystal.

Summary:
DFT total energy: -6.348 eV per atom
crystal system: tetragonal
DOS(E_F): 0.4780 states/eV per atom

The structure in extended XYZ format:
```
5
Lattice="4.7937 0.0000 0.0000 0.0000 4.7937 0.0000 0.0000 0.0000 4.9138" Properties=species:S:1:pos:R:3 pbc="T T T"
P 0.0000 0.0000 2.4569
Ca 2.3968 2.3968 2.4569
Ta 0.0000 0.0000 0.0000
S 0.0000 2.3968 0.0000
S 2.3968 0.0000 0.0000
```

[7]
## CaTaPS2 (GGA-PBE)

Data for a relaxed CaTaPS2 crystal.

Summary:
DFT total energy: -4.450 eV per atom
crystal system: tetragonal
DOS(E_F): 1.3069 states/eV per atom

The structure in extended XYZ format:
```
5
Lattice="4.9453 0.0000 0.0000 0.0000 4.9453 0.0000 0.0000 0.0000 4.9995" Properties=species:S:1:pos:R:3 pbc="T T T"
Ca 0.0000 0.0000 0.0000
P 0.0000 0.0000 2.4998
S 2.4726 0.0000 0.0000
S 0.0000 2.4726 0.0000
Ta 2.4726 2.4726 2.4998
```

[8]
## CaTaP2S (GGA-PBE)

Data for a relaxed CaTaP2S crystal.

Summary:
DFT total energy: -4.406 eV per atom
crystal system: tetragonal
DOS(E_F): 1.3500 states/eV per atom

The structure in extended XYZ format:
```
5
Lattice="-0.0828 -4.4413 2.1700 4.9224 -0.2726 -0.3700 0.4481 2.1359 4.3887" Properties=species:S:1:pos:R:3 pbc="T T T"
Ca 0.0000 0.0000 0.0000
S 0.2241 1.0679 2.1943
P 2.4612 -0.1363 -0.1850
P -0.0414 -2.2207 1.0850
Ta 2.6438 -1.2890 3.0943
```

- What is the formula in the fourth record?
  SrCaPS2

- Which value of DFT total energy does entry 6 give?
  -6.348 eV per atom